Computed, not measured: a relaxed LiEu2Lu crystal at the PBE-GGA level of DFT.

Summary:
- Space-group type: No. 225
- VASP energy: -0.2408 Ha/atom

abc: 5.7725 5.7725 5.7725
angles: 60.00 60.00 60.00
Fractional positions:
Eu 0.2500 0.2500 0.2500
Eu 0.7500 0.7500 0.7500
Lu 0.0000 0.0000 0.0000
Li 0.5000 0.5000 0.5000